Below is CoTcN2O after structural relaxation, with properties calculated at the PBE+U level.

abc: 3.8865 3.8865 3.8470
angles: 90.00 90.00 90.00
Atoms (fractional coordinates):
Co  0.0000  0.0000  0.0000
Tc  0.5000  0.5000  0.5000
N  0.0000  0.5000  0.5000
N  0.5000  0.0000  0.5000
O  0.5000  0.5000  0.0000

Computed properties:
* crystal system: tetragonal
* space-group type: P4/mmm
* spin magnetization: 2.98 μB/f.u.
* final energy: -6.936 eV/atom